AlFe2Ru PBE optimized geometry; magnetization = 4.4 Bohr magnetons per cell; ΔE_f = -0.199 eV/atom; space-group type = No. 99; total DFT energy (no corrections) = -7.685 eV/atom
1.0
2.946 0.000 0.000
0.000 2.946 0.000
0.000 0.000 5.814
Al Fe Ru
1 2 1
direct
0.000 0.000 0.000
0.000 0.000 0.475
0.500 0.500 0.249
0.500 0.500 0.732